(1)
DFT (GGA-PBE) results for an optimized crystal structure of TaOsRh2.

Structure (POSCAR):
```
TaOsRh2
1.0
-3.672 0.648 0.830
0.560 -1.348 3.530
0.550 7.954 5.016
Rh Os Ta
4 2 2
direct
0.633 0.125 0.250
0.117 0.625 0.250
0.375 0.367 0.750
0.875 0.883 0.750
0.000 0.000 0.000
0.750 0.250 0.500
0.500 0.500 0.000
0.250 0.750 0.500
```

symmetry	I-42d (122)
excess energy over the best structure of this formula in the dataset	670.3	meV/atom
ρ	14.55	g/cm3
total magnetization	0.0	Bohr magnetons per cell
energy of formation from the pure elements	94.0	kJ/mol of formula units

(2)
DFT (GGA-PBE) results for an optimized crystal structure of TaOs2Rh.

Structure (POSCAR):
```
TaOs2Rh
1.0
3.824 0.000 0.000
0.000 3.824 0.000
1.912 1.912 9.168
Rh Os Ta
2 4 2
direct
0.500 0.500 0.000
0.250 0.750 0.500
0.588 0.125 0.250
0.162 0.625 0.250
0.375 0.412 0.750
0.875 0.838 0.750
0.000 0.000 0.000
0.750 0.250 0.500
```

symmetry	I-42d (122)
excess energy over the best structure of this formula in the dataset	764.5	meV/atom
ρ	16.46	g/cm3
total magnetization	0.0	Bohr magnetons per cell
energy of formation from the pure elements	185.4	kJ/mol of formula units

(3)
DFT (GGA-PBE) results for an optimized crystal structure of Ta2OsRh.

Structure (POSCAR):
```
Ta2OsRh
1.0
1.469 4.766 0.000
-1.469 4.766 0.000
0.000 0.814 4.676
Ta Os Rh
2 1 1
direct
0.010 0.010 0.961
0.236 0.236 0.295
0.494 0.494 0.465
0.760 0.760 0.779
```

symmetry	Cm (8)
ρ	16.62	g/cm3
total magnetization	0.0	Bohr magnetons per cell
energy of formation from the pure elements	-94.3	kJ/mol of formula units